BaYP2, PBEsol geometry, DFT SCAN; V = 23.6 Å³ per atom; formation energy = -842 meV per atom
1.0
5.4178 0.0000 0.0000
0.0000 5.4178 0.0000
0.0000 0.0000 3.2169
Ba Y P
1 1 2
Direct
0.0000 0.0000 0.0000
0.5000 0.5000 0.0000
0.0000 0.5000 0.5000
0.5000 0.0000 0.5000